{
  "formula": "Ho3Al3Hg2Ru",
  "functional": "GGA-PBE",
  "state": "relaxed",
  "lattice_angstrom": [[4.377, 0.000, 0.000], [0.000, 7.131, 0.000], [0.000, -3.566, 6.176]],
  "species": ["Ho", "Ho", "Ho", "Al", "Al", "Al", "Hg", "Hg", "Ru"],
  "fractional_positions": [[0.000, 0.000, 0.397], [0.000, 0.603, 0.603], [0.000, 0.397, 0.000], [0.500, 0.779, 0.000], [0.500, 0.221, 0.221], [0.500, 0.000, 0.779], [0.500, 0.333, 0.667], [0.500, 0.667, 0.333], [0.000, 0.000, 0.000]],
  "density_g_cm3": 9.286,
  "sg": "P-62m (189)",
  "n_ef_per_ev_fu": 12.10,
  "formation_energy_mev_per_atom": -513,
  "volume_a3_per_cell": 192.8,
  "e_tot_ev_per_atom": -4.38
}